1.
First-principles (PBE-GGA) data for LaMgZnNi after structural relaxation, as listed in Alexandria.

Calculated values
E_tot = -3.610 eV/atom

abc: 6.9016 6.9016 6.9016
angles: 90.00 90.00 90.00
With the nearest neighbours (Å) after each atom.
Space group F-43m (No. 216)
Asymmetric unit:
La 0.0000 0.0000 0.0000 (multiplicity 4)  4 Ni 2.99, 4 Zn 2.99
Mg 0.0000 0.0000 0.5000 (multiplicity 4)  4 Ni 2.99, 4 Zn 2.99
Zn 0.2500 0.2500 0.2500 (multiplicity 4)  4 La 2.99, 4 Mg 2.99
Ni 0.2500 0.2500 0.7500 (multiplicity 4)  4 La 2.99, 4 Mg 2.99


2.
First-principles (PBE-GGA) data for La2MgZn3Ni12 after structural relaxation, as listed in Alexandria.

Calculated values
E_tot = -4.742 eV/atom

abc: 8.5655 8.5655 12.2071
angles: 90.00 90.00 120.00
With the nearest neighbours (Å) after each atom.
Space group R-3m (No. 166, hexagonal axes)
Asymmetric unit:
La 0.0000 0.0000 0.1659 (multiplicity 6)  9 Ni 2.61-2.88
Mg 0.0000 0.0000 0.5000 (multiplicity 3)  6 Ni 2.41
Zn 0.0000 0.5000 0.0000 (multiplicity 9)  6 Ni 2.47-2.62
Ni 0.0124 0.5062 0.6071 (multiplicity 18)  1 Ni 2.34
Ni 0.0137 0.5069 0.2020 (multiplicity 18)  3 Ni 2.34-2.52, 1 Mg 2.41, 1 Zn 2.47, 1 La 2.61


3.
First-principles (PBE-GGA) data for La2MgZnNi after structural relaxation, as listed in Alexandria.

Calculated values
E_tot = -3.846 eV/atom
energy relative to the lowest polymorph listed for this composition = 0 meV/atom

abc: 5.3974 5.3974 4.7123
angles: 90.00 90.00 90.00
With the nearest neighbours (Å) after each atom.
Space group P4/mmm (No. 123)
Asymmetric unit:
La 0.0000 0.5000 0.0000 (multiplicity 2)  2 Ni 2.70
Mg 0.0000 0.0000 0.5000 (multiplicity 1)  8 La 3.58, 4 Zn 3.82
Zn 0.5000 0.5000 0.5000 (multiplicity 1)  2 Ni 2.36
Ni 0.5000 0.5000 0.0000 (multiplicity 1)  2 Zn 2.36


4.
First-principles (PBE-GGA) data for LaMgZn2Ni after structural relaxation, as listed in Alexandria.

Calculated values
E_tot = -3.260 eV/atom
energy relative to the lowest polymorph listed for this composition = 0 meV/atom

abc: 3.8512 4.2103 12.2617
angles: 90.00 90.00 90.00
With the nearest neighbours (Å) after each atom.
Space group Imm2 (No. 44)
Asymmetric unit:
La 0.0000 0.0000 0.0000 (multiplicity 2)  4 Ni 3.03, 6 Zn 3.21-3.33
Mg 0.0000 0.5000 0.7661 (multiplicity 2)  2 Ni 2.66, 6 Zn 2.76-2.86
Zn 0.0000 0.0000 0.6208 (multiplicity 2)  1 Ni 2.51, 2 Zn 2.73, 2 Mg 2.76
Zn 0.0000 0.5000 0.2781 (multiplicity 2)  2 Ni 2.70, 2 Zn 2.73, 4 Mg 2.86
Ni 0.0000 0.0000 0.4163 (multiplicity 2)  3 Zn 2.51-2.70, 2 Mg 2.66


5.
First-principles (PBE-GGA) data for LaMgNpO6 after structural relaxation, as listed in Alexandria.

Calculated values
E_tot = -8.363 eV/atom

abc: 5.4405 5.4405 10.3622
angles: 90.00 90.00 120.00
With the nearest neighbours (Å) after each atom.
Space group P-31c (No. 163)
Asymmetric unit:
La 0.0000 0.0000 0.0000 (multiplicity 2)  6 O 2.45
Mg 0.3333 0.6667 0.2500 (multiplicity 2)  6 O 2.11
Np 0.3333 0.6667 0.7500 (multiplicity 2)  6 O 2.03
O 0.0122 0.3662 0.6425 (multiplicity 12)  1 Np 2.03, 1 Mg 2.11


6.
First-principles (PBE-GGA) data for La2MgNpTe5 after structural relaxation, as listed in Alexandria.

Calculated values
E_tot = -5.605 eV/atom

abc: 4.4921 19.1930 13.4069
angles: 90.00 90.00 90.00
With the nearest neighbours (Å) after each atom.
Space group Cmc2_1 (No. 36)
Asymmetric unit:
La 0.0000 0.1141 0.0000 (multiplicity 4)  8 Te 3.36-3.43
La 0.0000 0.1289 0.6212 (multiplicity 4)  8 Te 3.30-3.54
Mg 0.0000 0.4418 0.7738 (multiplicity 4)  4 Te 2.72-2.92
Np 0.0000 0.2039 0.3240 (multiplicity 4)  6 Te 3.11-3.14
Te 0.0000 0.0465 0.3892 (multiplicity 4)  2 Mg 2.74
Te 0.0000 0.2887 0.9845 (multiplicity 4)  2 Np 3.11, 3 La 3.30-3.36
Te 0.0000 0.3112 0.6614 (multiplicity 4)  1 Mg 2.92, 2 Np 3.14
Te 0.0000 0.3659 0.3152 (multiplicity 4)  1 Np 3.11, 4 La 3.37-3.44
Te 0.0000 0.4977 0.0903 (multiplicity 4)  1 Mg 2.72